## PmTmAl (PBE-GGA)

Data for a relaxed PmTmAl crystal.

Cell and atoms, written as extended XYZ:
```
3
Lattice="5.0831 0.0000 0.0000 -2.5416 4.4021 0.0000 0.0000 0.0000 3.6180" Properties=species:S:1:pos:R:3 pbc="T T T"
Pm 0.0000 0.0000 0.0000
Tm 2.5416 1.4674 1.6061
Al 0.0000 2.9347 2.3671
```

Properties
Mass density ... 6.99 Mg/m³
Relative energy among the computed polymorphs ... 90 meV/atom


## RbReI3 (PBE-GGA)

Data for a relaxed RbReI3 crystal.

Cell and atoms, written as extended XYZ:
```
5
Lattice="5.7160 0.0000 0.0000 0.0000 5.7160 0.0000 0.0000 0.0000 5.7160" Properties=species:S:1:pos:R:3 pbc="T T T"
Rb 0.0000 0.0000 0.0000
Re 2.8580 2.8580 2.8580
I 0.0000 2.8580 2.8580
I 2.8580 0.0000 2.8580
I 2.8580 2.8580 0.0000
```

Properties
Mass density ... 5.80 Mg/m³
Relative energy among the computed polymorphs ... 0 meV/atom
ΔE_f (raw) ... 0.00 eV per atom


## Y6Tl3Pt (PBE-GGA)

Data for a relaxed Y6Tl3Pt crystal.

Cell and atoms, written as extended XYZ:
```
20
Lattice="6.2035 0.0000 0.0000 0.0000 8.7906 0.0000 -5.9309 0.0000 10.8290" Properties=species:S:1:pos:R:3 pbc="T T T"
Y -2.2535 1.4273 4.7205
Y -5.2190 2.9680 10.1350
Y -0.5001 6.0943 4.6819
Y -3.4655 7.0917 10.0964
Y 0.9142 0.4532 2.8692
Y -2.0512 3.9422 8.2837
Y 2.3238 4.8485 2.5453
Y -0.6417 8.3375 7.9598
Y 3.7381 1.6990 0.7326
Y 0.7726 2.6963 6.1471
Y 5.4915 5.8226 0.6940
Y 2.5261 7.3633 6.1084
Tl 0.0000 0.0000 0.0000
Tl -2.9655 4.3953 5.4145
Tl -3.4658 0.9993 8.2485
Tl -0.5003 3.3960 2.8340
Tl 0.7729 5.3946 7.9950
Tl 3.7383 7.7913 2.5805
Pt 0.1363 0.0000 5.4145
Pt 3.1017 4.3953 0.0000
```

Properties
Mass density ... 7.55 Mg/m³
Calculated total energy ... -112.1 eV/cell


## RbThAgI6 (PBE-GGA)

Data for a relaxed RbThAgI6 crystal.

Cell and atoms, written as extended XYZ:
```
18
Lattice="7.9087 0.0000 0.0000 -3.9543 6.8491 0.0000 0.0000 0.0000 16.7059" Properties=species:S:1:pos:R:3 pbc="T T T"
Rb 0.0000 0.0000 0.0000
Rb 0.0000 0.0000 8.3530
Th 0.0000 4.5661 4.1765
Th 3.9543 2.2830 12.5295
Ag 0.0000 4.5661 12.5295
Ag 3.9543 2.2830 4.1765
I -1.4303 2.4984 2.3831
I -2.5058 4.3612 5.9699
I 1.4303 2.4984 5.9699
I -1.0755 6.8386 2.3831
I 2.8788 0.0105 10.7361
I 1.4485 2.4879 14.3228
I 2.5058 4.3612 2.3831
I 1.0755 6.8386 5.9699
I 5.0299 0.0105 14.3228
I 2.5240 4.3507 10.7361
I 6.4602 2.4879 10.7361
I 5.3846 4.3507 14.3228
```

Properties
Mass density ... 4.36 Mg/m³
ΔE_f (raw) ... -1.06 eV per atom


## K2CdAgHg (PBE-GGA)

Data for a relaxed K2CdAgHg crystal.

Cell and atoms, written as extended XYZ:
```
5
Lattice="6.3327 0.0000 0.0000 0.0000 6.3327 0.0000 0.0000 0.0000 5.4167" Properties=species:S:1:pos:R:3 pbc="T T T"
K 0.0000 3.1663 0.0000
K 3.1663 0.0000 0.0000
Cd 0.0000 0.0000 2.7083
Ag 3.1663 3.1663 0.0000
Hg 3.1663 3.1663 2.7083
```

Properties
Mass density ... 3.82 Mg/m³
Relative energy among the computed polymorphs ... 38 meV/atom


## SrAsRuCl2 (PBE-GGA)

Data for a relaxed SrAsRuCl2 crystal.

Cell and atoms, written as extended XYZ:
```
5
Lattice="5.2756 0.0000 0.0000 0.0000 5.2756 0.0000 0.0000 0.0000 7.6545" Properties=species:S:1:pos:R:3 pbc="T T T"
Sr 0.0000 0.0000 0.0000
As 2.6378 2.6378 3.8272
Ru 0.0000 0.0000 3.8272
Cl 0.0000 2.6378 0.0000
Cl 2.6378 0.0000 0.0000
```

Properties
Mass density ... 2.61 Mg/m³
ΔE_f (raw) ... 0.42 eV per atom


Number 1: N(E_F) 1.92 states/eV per cell. Number 2: N(E_F) 2.61 states/eV per cell. Number 3: N(E_F) 25.15 states/eV per cell. Number 4: N(E_F) 0.00 states/eV per cell. Number 5: N(E_F) 3.61 states/eV per cell. Number 6: N(E_F) 4.35 states/eV per cell.